No. 1
DFT (GGA-PBE) results for CrFeIr4 after structural relaxation.

Its final energy is -54.034 eV per formula unit. The value obtained for the energy above the lowest structure with this stoichiometry is 0.000 eV per atom. The calculation puts the energy of formation from the pure elements at -0.084 eV/atom. Its total moment is 2.038 μB/f.u. The crystal system is orthorhombic.

The structure belongs to space group Pmmm (No. 47); the cell edges are 2.698, 3.745 and 8.103 Å and the angles 90.00°, 90.00° and 90.00°. The distinct sites, in fractional coordinates, are Cr at (0.000, 0.000, 0.000), Fe at (0.500, 0.500, 0.500), Ir at (0.000, 0.000, 0.336) and Ir at (0.500, 0.500, 0.161).

=====

No. 2
DFT (GGA-PBE) results for Cr2FeIr after structural relaxation.

Its final energy is -36.431 eV per formula unit. The value obtained for the energy above the lowest structure with this stoichiometry is 0.088 eV per atom. The calculation puts the energy of formation from the pure elements at 0.035 eV/atom. Its total moment is 0.000 μB/f.u. The crystal system is monoclinic.

The structure belongs to space group C2/m (No. 12); the cell edges are 8.544, 2.608 and 4.426 Å and the angles 90.00°, 100.15° and 90.00°. The distinct sites, in fractional coordinates, are Cr at (0.247, 0.000, 0.233), Fe at (0.000, 0.500, 0.000) and Ir at (0.000, 0.000, 0.500).

=====

No. 3
DFT (GGA-PBE) results for CrFe4Ir after structural relaxation.

Its final energy is -52.216 eV per formula unit. The value obtained for the energy above the lowest structure with this stoichiometry is 0.027 eV per atom. The calculation puts the energy of formation from the pure elements at 0.020 eV/atom. Its total moment is 8.668 μB/f.u. The crystal system is monoclinic.

The structure belongs to space group C2/m (No. 12); the cell edges are 9.238, 2.907 and 5.743 Å and the angles 90.00°, 108.07° and 90.00°. The distinct sites, in fractional coordinates, are Cr at (0.000, 0.000, 0.000), Fe at (0.171, 0.500, 0.844), Fe at (0.173, 0.500, 0.328) and Ir at (0.000, 0.000, 0.500).

=====

Number 3 is which compound? CrFe4Ir

=====

energy above the lowest structure with this stoichiometry of number 1 (CrFeIr4)? 0.000 eV per atom